(1)
# CaCeMgGe

An optimized crystal structure of CaCeMgGe (PBE, the Alexandria database).

Cell: 5.2567 5.2567 5.2567 Å, 60.00 60.00 60.00°
Last column: nearest neighbours and their distance in Å.
Fractional positions:
Ce (0.0000, 0.0000, 0.0000)  4 Mg 3.22, 4 Ge 3.22
Mg (0.7500, 0.7500, 0.7500)  4 Ca 3.22, 4 Ce 3.22
Ca (0.5000, 0.5000, 0.5000)  4 Ge 3.22, 4 Mg 3.22
Ge (0.2500, 0.2500, 0.2500)  4 Ce 3.22, 4 Ca 3.22

- Electronic total energy: -3.81 eV/atom
- Space-group type: No. 216
- Energy of formation: -271 meV per atom



(2)
# Ca3Ce3GeN8

An optimized crystal structure of Ca3Ce3GeN8 (PBE, the Alexandria database).

Cell: 6.7841 6.9788 6.9272 Å, 119.55 90.00 119.08°
Last column: nearest neighbours and their distance in Å.
Fractional positions:
N (0.2148, 0.9966, 0.7037)  1 Ge 2.05
N (0.2607, 0.5214, 0.2766)  3 Ce 2.35-2.41, 3 Ca 2.51-2.63
N (0.7818, 0.9966, 0.7037)  1 Ge 2.05
N (0.7393, 0.4786, 0.7234)  3 Ce 2.35-2.41, 3 Ca 2.51-2.63
N (0.7852, 0.0034, 0.2963)  1 Ge 2.05
N (0.7631, 0.5263, 0.2893)  2 Ce 2.30, 1 Ge 2.39, 2 Ca 2.56
N (0.2369, 0.4737, 0.7107)  2 Ce 2.30, 1 Ge 2.39, 2 Ca 2.56
N (0.2182, 0.0034, 0.2963)  1 Ge 2.05
Ca (0.0000, 0.0000, 0.0000)  6 N 2.51-2.63
Ca (0.5000, 0.5000, 0.0000)  6 N 2.51-2.57
Ca (0.0000, 0.5000, 0.0000)  6 N 2.51-2.57
Ge (0.0000, 0.0000, 0.5000)  4 N 2.05
Ce (0.0000, 0.5000, 0.5000)  6 N 2.30-2.53
Ce (0.5000, 0.5000, 0.5000)  6 N 2.30-2.53
Ce (0.5000, 0.0000, 0.5000)  6 N 2.39-2.41

- Electronic total energy: -7.07 eV/atom
- Energy relative to the elements, uncorrected: -1061 kJ/mol of formula units
- Space-group type: No. 12



(3)
# CaCeGeN3

An optimized crystal structure of CaCeGeN3 (PBE, the Alexandria database).

Cell: 3.5779 7.2824 8.3856 Å, 102.11 90.00 90.00°
Last column: nearest neighbours and their distance in Å.
Fractional positions:
Ca (0.2500, 0.1628, 0.1315)  5 N 2.37-2.62
Ca (0.7500, 0.8372, 0.8685)  5 N 2.37-2.62
N (0.2500, 0.0643, 0.8436)  1 Ge 1.83
N (0.2500, 0.8496, 0.4467)  3 Ge 1.94-2.03
N (0.7500, 0.1504, 0.5533)  3 Ge 1.94-2.03
N (0.2500, 0.5803, 0.8869)  3 Ce 2.30-2.36
N (0.7500, 0.9357, 0.1564)  1 Ge 1.83
N (0.7500, 0.4197, 0.1131)  3 Ce 2.30-2.36
Ge (0.7500, 0.9336, 0.3737)  4 N 1.83-2.03
Ge (0.2500, 0.0664, 0.6263)  4 N 1.83-2.03
Ce (0.2500, 0.6348, 0.1668)  4 N 2.30-2.53
Ce (0.7500, 0.3652, 0.8332)  4 N 2.30-2.53

- Electronic total energy: -6.93 eV/atom
- Energy relative to the elements, uncorrected: -394 kJ/mol of formula units
- Space-group type: No. 11



(4)
# CaCe2Ni2Ge2

An optimized crystal structure of CaCe2Ni2Ge2 (PBE, the Alexandria database).

Cell: 4.2591 4.2591 9.2846 Å, 76.74 76.74 60.00°
Last column: nearest neighbours and their distance in Å.
Fractional positions:
Ge (0.2600, 0.2600, 0.2201)  3 Ni 2.48
Ge (0.7400, 0.7400, 0.7799)  3 Ni 2.48
Ni (0.4178, 0.4178, 0.7465)  3 Ge 2.48
Ni (0.5822, 0.5822, 0.2535)  3 Ge 2.48
Ca (0.0000, 0.0000, 0.0000)  6 Ge 3.15, 6 Ni 3.35
Ce (0.1374, 0.1374, 0.5878)  3 Ni 2.84, 3 Ce 2.92, 3 Ge 3.00
Ce (0.8626, 0.8626, 0.4122)  3 Ni 2.84, 3 Ce 2.92, 3 Ge 3.00

- Electronic total energy: -5.51 eV/atom
- Space-group type: No. 166
- Energy of formation: -560 meV per atom



(5)
# SrCaCeGeO6

An optimized crystal structure of SrCaCeGeO6 (PBE, the Alexandria database).

Cell: 5.8066 5.8066 5.8066 Å, 60.00 60.00 60.00°
Last column: nearest neighbours and their distance in Å.
Fractional positions:
O (0.7325, 0.7325, 0.2675)  1 Ge 1.91
O (0.2675, 0.7325, 0.7325)  1 Ge 1.91
O (0.2675, 0.2675, 0.7325)  1 Ge 1.91
O (0.7325, 0.2675, 0.2675)  1 Ge 1.91
O (0.2675, 0.7325, 0.2675)  1 Ge 1.91
O (0.7325, 0.2675, 0.7325)  1 Ge 1.91
Ca (0.2500, 0.2500, 0.2500)  12 O 2.91
Ce (0.0000, 0.0000, 0.0000)  6 O 2.20
Ge (0.5000, 0.5000, 0.5000)  6 O 1.91
Sr (0.7500, 0.7500, 0.7500)  12 O 2.91

- Electronic total energy: -7.03 eV/atom
- Energy relative to the elements, uncorrected: -2535 kJ/mol of formula units
- Space-group type: No. 216



(6)
# CaCe2Ge3Pd4

An optimized crystal structure of CaCe2Ge3Pd4 (PBE, the Alexandria database).

Cell: 4.2706 4.2706 11.2652 Å, 90.00 90.00 90.00°
Last column: nearest neighbours and their distance in Å.
Fractional positions:
Ge (0.0000, 0.0000, 0.5000)  4 Pd 2.78, 4 Ca 3.02
Ge (0.5000, 0.0000, 0.8770)  5 Pd 2.47-2.55
Ge (0.0000, 0.5000, 0.1230)  5 Pd 2.47-2.55
Pd (0.0000, 0.0000, 0.0000)  4 Ge 2.55
Pd (0.0000, 0.5000, 0.3419)  1 Ge 2.47
Pd (0.5000, 0.0000, 0.6581)  1 Ge 2.47
Pd (0.5000, 0.5000, 0.0000)  4 Ge 2.55
Ca (0.5000, 0.5000, 0.5000)  4 Pd 2.78, 4 Ge 3.02
Ce (0.0000, 0.5000, 0.7745)  4 Ge 3.23, 8 Pd 3.29-3.32
Ce (0.5000, 0.0000, 0.2255)  4 Ge 3.23, 8 Pd 3.29-3.32

- Electronic total energy: -5.58 eV/atom
- Space-group type: No. 115
- Energy of formation: -728 meV per atom



(7)
# CaCeGe2Pd5

An optimized crystal structure of CaCeGe2Pd5 (PBE, the Alexandria database).

Cell: 4.2916 4.2916 9.1022 Å, 90.00 90.00 90.00°
Last column: nearest neighbours and their distance in Å.
Fractional positions:
Pd (0.0000, 0.5000, 0.7218)  2 Ge 2.50
Pd (0.0000, 0.5000, 0.2782)  2 Ge 2.50
Pd (0.5000, 0.0000, 0.7218)  2 Ge 2.50
Pd (0.5000, 0.0000, 0.2782)  2 Ge 2.50
Pd (0.5000, 0.5000, 0.5000)  8 Pd 2.95, 4 Ce 3.03
Ce (0.0000, 0.0000, 0.5000)  12 Pd 2.95-3.03
Ge (0.5000, 0.5000, 0.1371)  1 Ge 2.50, 4 Pd 2.50
Ge (0.5000, 0.5000, 0.8629)  1 Ge 2.50, 4 Pd 2.50
Ca (0.0000, 0.0000, 0.0000)  8 Ge 3.28, 8 Pd 3.32

- Electronic total energy: -5.54 eV/atom
- Space-group type: No. 123
- Energy of formation: -749 meV per atom



(8)
# CaCe2Ge3Pt4

An optimized crystal structure of CaCe2Ge3Pt4 (PBE, the Alexandria database).

Cell: 4.2679 4.2679 11.2800 Å, 90.00 90.00 90.00°
Last column: nearest neighbours and their distance in Å.
Fractional positions:
Ge (0.0000, 0.0000, 0.5000)  4 Pt 2.79, 4 Ca 3.02
Ge (0.0000, 0.5000, 0.1228)  5 Pt 2.45-2.54
Ge (0.5000, 0.0000, 0.8772)  5 Pt 2.45-2.54
Pt (0.0000, 0.5000, 0.3401)  1 Ge 2.45
Pt (0.5000, 0.5000, 0.0000)  4 Ge 2.54
Pt (0.0000, 0.0000, 0.0000)  4 Ge 2.54
Pt (0.5000, 0.0000, 0.6599)  1 Ge 2.45
Ce (0.5000, 0.0000, 0.2286)  4 Ge 3.25, 8 Pt 3.27-3.35
Ce (0.0000, 0.5000, 0.7714)  4 Ge 3.25, 8 Pt 3.27-3.35
Ca (0.5000, 0.5000, 0.5000)  4 Pt 2.79, 4 Ge 3.02

- Electronic total energy: -6.04 eV/atom
- Space-group type: No. 115
- Energy of formation: -852 meV per atom



(9)
# CaCeGe2Pt5

An optimized crystal structure of CaCeGe2Pt5 (PBE, the Alexandria database).

Cell: 4.3073 4.3073 8.9596 Å, 90.00 90.00 90.00°
Last column: nearest neighbours and their distance in Å.
Fractional positions:
Pt (0.0000, 0.5000, 0.2735)  2 Ge 2.47
Pt (0.5000, 0.0000, 0.7265)  2 Ge 2.47
Pt (0.0000, 0.5000, 0.7265)  2 Ge 2.47
Pt (0.5000, 0.0000, 0.2735)  2 Ge 2.47
Pt (0.5000, 0.5000, 0.5000)  8 Pt 2.96, 4 Ca 3.05, 2 Ge 3.23
Ge (0.5000, 0.5000, 0.1391)  4 Pt 2.47, 1 Ge 2.49
Ge (0.5000, 0.5000, 0.8609)  4 Pt 2.47, 1 Ge 2.49
Ca (0.0000, 0.0000, 0.5000)  12 Pt 2.96-3.05
Ce (0.0000, 0.0000, 0.0000)  8 Pt 3.26, 8 Ge 3.29

- Electronic total energy: -6.05 eV/atom
- Space-group type: No. 123
- Energy of formation: -783 meV per atom



(10)
# CaCeSnGe

An optimized crystal structure of CaCeSnGe (PBE, the Alexandria database).

Cell: 5.3083 5.3083 5.3083 Å, 60.00 60.00 60.00°
Last column: nearest neighbours and their distance in Å.
Fractional positions:
Ce (0.0000, 0.0000, 0.0000)  4 Ge 3.25, 4 Sn 3.25
Ge (0.7500, 0.7500, 0.7500)  4 Ce 3.25, 4 Ca 3.25
Sn (0.2500, 0.2500, 0.2500)  4 Ce 3.25, 4 Ca 3.25
Ca (0.5000, 0.5000, 0.5000)  4 Ge 3.25, 4 Sn 3.25

- Electronic total energy: -4.65 eV/atom
- Space-group type: No. 216
- Energy of formation: -515 meV per atom



(11)
# CaCeTlGe

An optimized crystal structure of CaCeTlGe (PBE, the Alexandria database).

Cell: 5.3294 5.3294 5.3294 Å, 60.00 60.00 60.00°
Last column: nearest neighbours and their distance in Å.
Fractional positions:
Ca (0.5000, 0.5000, 0.5000)  4 Tl 3.26, 4 Ge 3.26
Ce (0.0000, 0.0000, 0.0000)  4 Ge 3.26, 4 Tl 3.26
Tl (0.7500, 0.7500, 0.7500)  4 Ca 3.26, 4 Ce 3.26
Ge (0.2500, 0.2500, 0.2500)  4 Ce 3.26, 4 Ca 3.26

- Electronic total energy: -4.13 eV/atom
- Space-group type: No. 216
- Energy of formation: -404 meV per atom



(12)
# CaCe2Zn2Ge2

An optimized crystal structure of CaCe2Zn2Ge2 (PBE, the Alexandria database).

Cell: 4.3224 4.3224 9.7602 Å, 77.21 77.21 60.00°
Last column: nearest neighbours and their distance in Å.
Fractional positions:
Zn (0.5912, 0.5912, 0.2265)  3 Ge 2.50
Zn (0.4088, 0.4088, 0.7735)  3 Ge 2.50
Ge (0.7374, 0.7374, 0.7879)  3 Zn 2.50
Ge (0.2626, 0.2626, 0.2121)  3 Zn 2.50
Ca (0.0000, 0.0000, 0.0000)  6 Ge 3.20, 6 Zn 3.29
Ce (0.1424, 0.1424, 0.5729)  3 Ce 2.85, 3 Zn 3.13
Ce (0.8576, 0.8576, 0.4271)  3 Ce 2.85, 3 Zn 3.13

- Electronic total energy: -4.03 eV/atom
- Space-group type: No. 166
- Energy of formation: -364 meV per atom



Question: Which of these has the highest electronic total energy?
Answer: CaCeMgGe